[1]
## Sr2Os2Pd (GGA-PBE)

Data for crystalline Sr2Os2Pd at its relaxed geometry.

Results
excess energy over the best structure of this formula in the dataset: 0 meV per atom
total DFT energy (no corrections): -59.9 eV per cell
symmetry: No. 139

Lattice parameters (Å, degrees): 3.5955 3.5955 18.5910 90.00 90.00 90.00
Last column: nearest neighbours and their distance in Å.
Fractional positions:
Sr 0.0000 0.0000 0.1034  4 Pd 3.19, 4 Os 3.27
Sr 0.0000 0.0000 0.8966  4 Pd 3.19, 4 Os 3.27
Sr 0.5000 0.5000 0.3966  4 Pd 3.19, 4 Os 3.27
Sr 0.5000 0.5000 0.6034  4 Pd 3.19, 4 Os 3.27
Os 0.0000 0.5000 0.2500  4 Os 2.54
Os 0.0000 0.5000 0.7500  4 Os 2.54
Os 0.5000 0.0000 0.2500  4 Os 2.54
Os 0.5000 0.0000 0.7500  4 Os 2.54
Pd 0.0000 0.0000 0.5000  8 Sr 3.19
Pd 0.5000 0.5000 0.0000  8 Sr 3.19

---

[2]
## Sr2OsPd2 (GGA-PBE)

Data for crystalline Sr2OsPd2 at its relaxed geometry.

Results
total DFT energy (no corrections): -49.4 eV per cell
symmetry: No. 127

Lattice parameters (Å, degrees): 6.9433 6.9433 4.7954 90.00 90.00 90.00
Last column: nearest neighbours and their distance in Å.
Fractional positions:
Sr 0.1795 0.3205 0.0000  6 Pd 2.99-3.27
Sr 0.3205 0.8205 0.0000  6 Pd 2.99-3.27
Sr 0.6795 0.1795 0.0000  6 Pd 2.99-3.27
Sr 0.8205 0.6795 0.0000  6 Pd 2.99-3.27
Os 0.0000 0.0000 0.5000  4 Pd 2.69
Os 0.5000 0.5000 0.5000  4 Pd 2.69
Pd 0.1384 0.6384 0.5000  2 Os 2.69, 1 Pd 2.72, 2 Sr 2.99
Pd 0.3616 0.1384 0.5000  2 Os 2.69, 1 Pd 2.72, 2 Sr 2.99
Pd 0.6384 0.8616 0.5000  2 Os 2.69, 1 Pd 2.72, 2 Sr 2.99
Pd 0.8616 0.3616 0.5000  2 Os 2.69, 1 Pd 2.72, 2 Sr 2.99

---

[3]
## Sr2Os2Pd (GGA-PBE)

Data for crystalline Sr2Os2Pd at its relaxed geometry.

Results
excess energy over the best structure of this formula in the dataset: 698 meV per atom
total DFT energy (no corrections): -52.9 eV per cell
symmetry: No. 127

Lattice parameters (Å, degrees): 9.1049 9.1049 3.0016 90.00 90.00 90.00
Last column: nearest neighbours and their distance in Å.
Fractional positions:
Sr 0.1965 0.3035 0.0000  2 Sr 3.00, 6 Os 3.15-3.16, 2 Pd 3.29
Sr 0.3035 0.8035 0.0000  2 Sr 3.00, 6 Os 3.15-3.16, 2 Pd 3.29
Sr 0.6965 0.1965 0.0000  2 Sr 3.00, 6 Os 3.15-3.16, 2 Pd 3.29
Sr 0.8035 0.6965 0.0000  2 Sr 3.00, 6 Os 3.15-3.16, 2 Pd 3.29
Os 0.0874 0.5874 0.5000  1 Os 2.25
Os 0.4126 0.0874 0.5000  1 Os 2.25
Os 0.5874 0.9126 0.5000  1 Os 2.25
Os 0.9126 0.4126 0.5000  1 Os 2.25
Pd 0.0000 0.0000 0.0000  2 Pd 3.00, 4 Sr 3.29
Pd 0.5000 0.5000 0.0000  2 Pd 3.00, 4 Sr 3.29

---

| no. | formation energy (eV/atom) |
| --- | --- |
| 1 | 0.22 |
| 2 | 0.06 |
| 3 | 0.91 |